Entry 1:
Li2PrHg2 | PBE-GGA | optimized geometry

Output
- ΔE_f: -33.7 kJ/mol of atoms
- Polymorph energy (0 for the lowest one): 4 meV/atom
- M_tot: 0.00 μB per atom
- Calculated total energy: -2.192 eV/atom

Lattice parameters (Å, degrees): 5.7507 5.7507 5.5397 53.05 53.05 51.86
Sites, in units of the cell vectors:
Pr1 0.0000 0.0000 0.0000
Li1 0.5942 0.5941 0.5570
Li2 0.4058 0.4059 0.4430
Hg1 0.7690 0.7690 0.7919
Hg2 0.2310 0.2310 0.2081

---

Entry 2:
Pm2BeNi | PBE-GGA | optimized geometry

Output
- ΔE_f: -1.9 kJ/mol of atoms
- Polymorph energy (0 for the lowest one): 141 meV/atom
- M_tot: 0.00 μB per atom
- Calculated total energy: -4.772 eV/atom

Lattice parameters (Å, degrees): 4.9422 4.9422 4.9422 60.00 60.00 60.00
Sites, in units of the cell vectors:
Ni1 0.5000 0.5000 0.5000
Pm1 0.2500 0.2500 0.2500
Be1 0.0000 0.0000 0.0000
Pm2 0.7500 0.7500 0.7500

---

Entry 3:
W3C5 | PBE-GGA | optimized geometry

Output
- ΔE_f: 137.6 kJ/mol of atoms
- Polymorph energy (0 for the lowest one): 634 meV/atom
- M_tot: 0.00 μB per atom
- Calculated total energy: -9.196 eV/atom

Lattice parameters (Å, degrees): 4.4314 4.4314 3.9439 90.00 90.00 101.25
Sites, in units of the cell vectors:
C1 0.3137 0.3137 0.5000
C2 0.5000 0.0000 0.0000
W1 0.2116 0.7884 0.5000
W2 0.5000 0.5000 0.0000
C3 0.6863 0.6863 0.5000
C4 0.0000 0.5000 0.0000
W3 0.7884 0.2116 0.5000
C5 0.0000 0.0000 0.0000